The following is a DFT calculation (PBE) of a relaxed structure of Pm6Te3PRh2.

a b c (Å): 7.3489 12.7291 7.7367
angles (deg): 90.00 108.66 90.00
Space group C2/m (No. 12)
One atom of each set of equivalent atoms:
Pm 0.2347 0.0000 0.2120 x4
Pm 0.2378 0.3317 0.2124 x8
Te 0.0000 0.0000 0.5000 x2
Te 0.0000 0.3351 0.5000 x4
P 0.0000 0.5000 0.0000 x2
Rh 0.0000 0.1671 0.0000 x4

- Formation energy (no corrections): -1.1745 eV/atom
- Energy: -6.0113 eV per atom
- Fermi-level density of states: 17.41 states/eV per cell
- Total magnetization: 0.00 μB/cell